Entry 1:
K3TiMn | Alexandria via LeMat-Bulk | PBE | relaxed; relative energy among the computed polymorphs = 0 meV per atom; total energy = -2.64 eV/atom; space group = Pm-3m
1.0
-3.331 -5.404 -1.501
5.278 -2.430 -2.965
1.898 -2.728 5.613
Ti Mn K
1 1 3
direct
0.500 0.500 0.500
0.000 0.000 0.000
0.000 0.000 0.500
0.500 0.000 0.000
0.000 0.500 0.000

---

Entry 2:
HfNp4O10 | Alexandria via LeMat-Bulk | PBE | relaxed; formation energy from raw total energies = -47.10 eV/f.u.; total energy = -10.56 eV/atom; space group = R-3m
1.0
3.735 0.000 0.459
1.840 3.251 0.459
-0.030 -0.017 15.671
O Np Hf
10 4 1
direct
0.253 0.253 0.242
0.954 0.954 0.139
0.850 0.850 0.450
0.653 0.653 0.042
0.449 0.449 0.654
0.551 0.551 0.346
0.046 0.046 0.861
0.150 0.150 0.550
0.347 0.347 0.958
0.747 0.747 0.758
0.800 0.800 0.601
0.397 0.397 0.808
0.200 0.200 0.399
0.603 0.603 0.192
0.000 0.000 0.000

---

Entry 3:
VIBrN2 | Alexandria via LeMat-Bulk | PBE | relaxed; formation energy from raw total energies = 11.71 eV/f.u.; relative energy among the computed polymorphs = 1626 meV per atom; total energy = -3.46 eV/atom; space group = P4/mmm
1.0
-2.079 -3.179 1.230
0.885 -1.895 -3.401
5.571 -2.535 2.863
I Br N V
1 1 2 1
direct
0.000 0.000 0.500
0.000 0.000 0.000
0.500 0.000 0.000
0.000 0.500 0.000
0.500 0.500 0.500

---

Entry 4:
AcRhN | Alexandria via LeMat-Bulk | PBE | relaxed; formation energy from raw total energies = -2.40 eV/f.u.; relative energy among the computed polymorphs = 0 meV per atom; total energy = -7.40 eV/atom; space group = P4_2/mmc
1.0
3.913 0.000 0.000
0.000 3.913 0.000
0.000 0.000 7.708
N Rh Ac
2 2 2
direct
0.500 0.000 0.500
0.000 0.500 0.000
0.500 0.500 0.000
0.500 0.500 0.500
0.000 0.000 0.250
0.000 0.000 0.750

---

Entry 5:
ScAl2Pb | Alexandria via LeMat-Bulk | PBE | relaxed; total energy = -4.48 eV/atom; space group = Pm
1.0
4.666 0.000 0.000
0.000 3.118 -0.023
0.000 0.040 6.003
Sc Pb Al
1 1 2
direct
0.500 0.750 0.789
0.000 0.249 0.509
0.000 0.251 0.989
0.500 0.250 0.213

---

Entry 6:
SrSc2Hg | Alexandria via LeMat-Bulk | PBE | relaxed; relative energy among the computed polymorphs = 226 meV per atom; total energy = -3.55 eV/atom; space group = C2/m
1.0
5.700 -0.001 -0.003
-2.804 6.026 -0.002
0.093 0.955 3.252
Hg Sc Sr
1 2 1
direct
0.500 0.500 0.000
0.000 0.000 0.000
0.500 0.000 0.500
0.000 0.500 0.500

---

Entry 7:
PaHgCl3 | Alexandria via LeMat-Bulk | PBE | relaxed; formation energy from raw total energies = -6.19 eV/f.u.; relative energy among the computed polymorphs = 107 meV per atom; total energy = -4.31 eV/atom; space group = Pm-3m
1.0
-1.088 -4.877 2.351
5.277 -1.492 -0.652
1.211 2.118 4.954
Pa Cl Hg
1 3 1
direct
0.000 0.000 0.000
0.500 0.000 0.000
0.000 0.000 0.500
0.000 0.500 0.000
0.500 0.500 0.500

---

Entry 8:
CaSi4Os4 | Alexandria via LeMat-Bulk | PBE | relaxed; formation energy from raw total energies = -2.79 eV/f.u.; total energy = -7.93 eV/atom; space group = P4_2/nmc
1.0
-0.220 -5.914 1.061
6.002 -0.266 -0.234
0.367 1.391 7.828
Os Si Ca
8 8 2
direct
0.000 0.246 0.372
0.000 0.754 0.372
0.746 0.500 0.872
0.500 0.254 0.128
0.246 0.000 0.628
0.754 0.000 0.628
0.500 0.746 0.128
0.254 0.500 0.872
0.000 0.695 0.673
0.805 0.500 0.173
0.000 0.305 0.673
0.695 0.000 0.327
0.195 0.500 0.173
0.305 0.000 0.327
0.500 0.805 0.827
0.500 0.195 0.827
0.000 0.000 0.000
0.500 0.500 0.500

---

total energy of number 8 (CaSi4Os4)?
-7.93 eV/atom

---

Copy entry 6 word for word.
SrSc2Hg | Alexandria via LeMat-Bulk | PBE | relaxed; relative energy among the computed polymorphs = 226 meV per atom; total energy = -3.55 eV/atom; space group = C2/m
1.0
5.700 -0.001 -0.003
-2.804 6.026 -0.002
0.093 0.955 3.252
Hg Sc Sr
1 2 1
direct
0.500 0.500 0.000
0.000 0.000 0.000
0.500 0.000 0.500
0.000 0.500 0.500

---

The lowest total energy belongs to which entry?
HfNp4O10

---

Repeat the seventh record exactly.
PaHgCl3 | Alexandria via LeMat-Bulk | PBE | relaxed; formation energy from raw total energies = -6.19 eV/f.u.; relative energy among the computed polymorphs = 107 meV per atom; total energy = -4.31 eV/atom; space group = Pm-3m
1.0
-1.088 -4.877 2.351
5.277 -1.492 -0.652
1.211 2.118 4.954
Pa Cl Hg
1 3 1
direct
0.000 0.000 0.000
0.500 0.000 0.000
0.000 0.000 0.500
0.000 0.500 0.000
0.500 0.500 0.500